[1]
## ErPu2Th (PBE)

Data for a relaxed ErPu2Th crystal.

Lattice parameters (Å, degrees): 3.4739 3.4739 33.5288 90.00 90.00 120.00
Space group R-3m (No. 166, hexagonal axes)
Inequivalent atoms, fractional coordinates:
Er: 0.0000 0.0000 0.0000 (multiplicity 3)
Pu: 0.0000 0.0000 0.2486 (multiplicity 6)
Th: 0.0000 0.0000 0.5000 (multiplicity 3)

Results
Crystal system ... trigonal
E ... -9.98 eV/atom
ΔE to the lowest computed polymorph ... 0.08 eV per formula unit

[2]
## La4SbRh (PBE)

Data for a relaxed La4SbRh crystal.

Lattice parameters (Å, degrees): 8.907 14.698 6.191 90.00 114.77 90.00
Space group C2/c (No. 15)
Inequivalent atoms, fractional coordinates:
La: 0.113 0.193 0.071 (multiplicity 8)
La: 0.225 0.429 0.346 (multiplicity 8)
Sb: 0.000 0.383 0.750 (multiplicity 4)
Rh: 0.000 0.002 0.250 (multiplicity 4)

Results
Crystal system ... monoclinic
Formation energy from raw total energies ... -64.3 kJ per mole of atoms
E ... -5.86 eV/atom
ΔE to the lowest computed polymorph ... 0.00 eV per formula unit

[3]
## Zr2NbZn3 (PBE)

Data for a relaxed Zr2NbZn3 crystal.

Lattice parameters (Å, degrees): 3.468 3.468 8.914 90.00 90.00 90.00
Space group P4/mmm (No. 123)
Inequivalent atoms, fractional coordinates:
Zr: 0.000 0.000 0.177 (multiplicity 2)
Nb: 0.000 0.000 0.500 (multiplicity 1)
Zn: 0.500 0.500 0.000 (multiplicity 1)
Zn: 0.500 0.500 0.348 (multiplicity 2)

Results
Crystal system ... tetragonal
E ... -5.32 eV/atom

[4]
## LuAgBiAu (PBE)

Data for a relaxed LuAgBiAu crystal.

Lattice parameters (Å, degrees): 7.160 7.160 7.160 90.00 90.00 90.00
Space group F-43m (No. 216)
Inequivalent atoms, fractional coordinates:
Lu: 0.000 0.000 0.000 (multiplicity 4)
Ag: 0.250 0.250 0.250 (multiplicity 4)
Bi: 0.000 0.000 0.500 (multiplicity 4)
Au: 0.250 0.250 0.750 (multiplicity 4)

Results
Crystal system ... cubic
E ... -3.98 eV/atom

[5]
## InGaIr (PBE)

Data for a relaxed InGaIr crystal.

Lattice parameters (Å, degrees): 6.279 12.724 2.937 90.00 90.00 90.00
Space group Cmmm (No. 65)
Inequivalent atoms, fractional coordinates:
In: 0.231 0.000 0.000 (multiplicity 4)
Ga: 0.250 0.250 0.000 (multiplicity 4)
Ir: 0.000 0.357 0.500 (multiplicity 4)

Results
Crystal system ... orthorhombic
E ... -5.14 eV/atom

[6]
## TbH6Pt2Rh (PBE)

Data for a relaxed TbH6Pt2Rh crystal.

Lattice parameters (Å, degrees): 4.821 4.821 5.130 114.24 114.86 96.48
Space group P1 (No. 1)
Inequivalent atoms, fractional coordinates:
Tb: 0.000 0.000 0.000 (multiplicity 1)
H: 0.090 0.556 0.647 (multiplicity 1)
H: 0.100 0.074 0.578 (multiplicity 1)
H: 0.455 0.794 0.250 (multiplicity 1)
H: 0.505 0.479 0.579 (multiplicity 1)
H: 0.548 0.182 0.077 (multiplicity 1)
H: 0.894 0.529 0.080 (multiplicity 1)
Pt: 0.275 0.737 0.488 (multiplicity 1)
Pt: 0.751 0.213 0.488 (multiplicity 1)
Rh: 0.479 0.447 0.927 (multiplicity 1)

Results
Crystal system ... triclinic
E ... -4.73 eV/atom

[7]
## Tc2Mo (PBE)

Data for a relaxed Tc2Mo crystal.

Lattice parameters (Å, degrees): 8.264 4.864 5.308 90.00 122.19 90.00
Space group C2/c (No. 15)
Inequivalent atoms, fractional coordinates:
Tc: 0.169 0.088 0.255 (multiplicity 8)
Mo: 0.000 0.399 0.750 (multiplicity 4)

Results
Crystal system ... monoclinic
E ... -10.39 eV/atom
ΔE to the lowest computed polymorph ... 0.07 eV per formula unit

[8]
## H2RhN2 (PBE)

Data for a relaxed H2RhN2 crystal.

Lattice parameters (Å, degrees): 3.581 3.581 5.171 90.00 90.00 90.00
Space group I4/mmm (No. 139)
Inequivalent atoms, fractional coordinates:
H: 0.000 0.000 0.074 (multiplicity 4)
Rh: 0.000 0.000 0.500 (multiplicity 2)
N: 0.000 0.500 0.250 (multiplicity 4)

Results
Crystal system ... tetragonal
E ... -4.94 eV/atom
ΔE to the lowest computed polymorph ... 3.67 eV per formula unit

[9]
## Pr2TlSn4 (PBE)

Data for a relaxed Pr2TlSn4 crystal.

Lattice parameters (Å, degrees): 9.267 9.328 9.782 90.00 90.00 90.00
Space group Fmmm (No. 69)
Inequivalent atoms, fractional coordinates:
Pr: 0.250 0.250 0.000 (multiplicity 8)
Tl: 0.000 0.000 0.000 (multiplicity 4)
Sn: 0.000 0.250 0.250 (multiplicity 8)
Sn: 0.250 0.000 0.250 (multiplicity 8)

Results
Crystal system ... orthorhombic
E ... -4.43 eV/atom
ΔE to the lowest computed polymorph ... 0.00 eV per formula unit

[10]
## LiAgHgPt (PBE)

Data for a relaxed LiAgHgPt crystal.

Lattice parameters (Å, degrees): 6.511 6.511 6.511 90.00 90.00 90.00
Space group F-43m (No. 216)
Inequivalent atoms, fractional coordinates:
Li: 0.000 0.000 0.000 (multiplicity 4)
Ag: 0.250 0.250 0.750 (multiplicity 4)
Hg: 0.250 0.250 0.250 (multiplicity 4)
Pt: 0.000 0.000 0.500 (multiplicity 4)

Results
Crystal system ... cubic
E ... -3.02 eV/atom
ΔE to the lowest computed polymorph ... 0.06 eV per formula unit

[11]
## Ba2Zn3Ga4Pt (PBE)

Data for a relaxed Ba2Zn3Ga4Pt crystal.

Lattice parameters (Å, degrees): 4.608 4.608 10.577 90.00 90.00 90.00
Space group P-4m2 (No. 115)
Inequivalent atoms, fractional coordinates:
Ba: 0.000 0.500 0.247 (multiplicity 2)
Zn: 0.000 0.000 0.000 (multiplicity 1)
Zn: 0.000 0.500 0.629 (multiplicity 2)
Ga: 0.000 0.000 0.500 (multiplicity 1)
Ga: 0.000 0.500 0.886 (multiplicity 2)
Ga: 0.500 0.500 0.500 (multiplicity 1)
Pt: 0.500 0.500 0.000 (multiplicity 1)

Results
Crystal system ... tetragonal
E ... -3.01 eV/atom

[12]
## K2Tl6Cd3 (PBE)

Data for a relaxed K2Tl6Cd3 crystal.

Lattice parameters (Å, degrees): 9.3029 9.3029 4.9481 90.00 90.00 120.00
Space group P-62m (No. 189)
Inequivalent atoms, fractional coordinates:
K: 0.3333 0.6667 0.0000 (multiplicity 2)
Tl: 0.0000 0.2907 0.5000 (multiplicity 3)
Tl: 0.0000 0.8006 0.0000 (multiplicity 3)
Cd: 0.0000 0.6150 0.5000 (multiplicity 3)

Results
Crystal system ... hexagonal
E ... -1.78 eV/atom

Repeat the tenth record exactly.
## LiAgHgPt (PBE)

Data for a relaxed LiAgHgPt crystal.

Lattice parameters (Å, degrees): 6.511 6.511 6.511 90.00 90.00 90.00
Space group F-43m (No. 216)
Inequivalent atoms, fractional coordinates:
Li: 0.000 0.000 0.000 (multiplicity 4)
Ag: 0.250 0.250 0.750 (multiplicity 4)
Hg: 0.250 0.250 0.250 (multiplicity 4)
Pt: 0.000 0.000 0.500 (multiplicity 4)

Results
Crystal system ... cubic
E ... -3.02 eV/atom
ΔE to the lowest computed polymorph ... 0.06 eV per formula unit

Q: E of number 1 (ErPu2Th)?
A: -9.98 eV/atom

Q: The highest E belongs to which entry?
A: K2Tl6Cd3